Be2Fe2Hg | GGA-PBE | optimized geometry

a b c (Å): 6.3163 6.3163 2.9651
angles (deg): 90.00 90.00 90.00
Atoms (fractional coordinates):
Be  0.1187  0.3813  0.0000
Be  0.3813  0.8813  0.0000
Be  0.6187  0.1187  0.0000
Be  0.8813  0.6187  0.0000
Fe  0.1631  0.6631  0.5000
Fe  0.3369  0.1631  0.5000
Fe  0.6631  0.8369  0.5000
Fe  0.8369  0.3369  0.5000
Hg  0.0000  0.0000  0.0000
Hg  0.5000  0.5000  0.0000

Properties
Its formation energy from the elements is 185.4 meV/atom. Its energy above the most stable polymorph in this dataset is 0 meV/atom.

=====

Be2Fe2Hg | GGA-PBE | optimized geometry

a b c (Å): 3.5545 3.5545 9.7702
angles (deg): 90.00 90.00 90.00
Atoms (fractional coordinates):
Be  0.0000  0.0000  0.1129
Be  0.0000  0.0000  0.8871
Be  0.5000  0.5000  0.3871
Be  0.5000  0.5000  0.6129
Fe  0.0000  0.5000  0.2500
Fe  0.0000  0.5000  0.7500
Fe  0.5000  0.0000  0.2500
Fe  0.5000  0.0000  0.7500
Hg  0.0000  0.0000  0.5000
Hg  0.5000  0.5000  0.0000

Properties
Its formation energy from the elements is 363.7 meV/atom. Its energy above the most stable polymorph in this dataset is 178 meV/atom.

=====

BeFe2Hg | GGA-PBE | optimized geometry

a b c (Å): 2.7986 2.7986 24.3845
angles (deg): 90.00 90.00 120.00
Atoms (fractional coordinates):
Be  0.0000  0.0000  0.0000
Be  0.3333  0.6667  0.6667
Be  0.6667  0.3333  0.3333
Fe  0.0000  0.0000  0.2644
Fe  0.0000  0.0000  0.7356
Fe  0.3333  0.6667  0.4023
Fe  0.3333  0.6667  0.9310
Fe  0.6667  0.3333  0.0690
Fe  0.6667  0.3333  0.5977
Hg  0.0000  0.0000  0.5000
Hg  0.3333  0.6667  0.1667
Hg  0.6667  0.3333  0.8333

Properties
Its formation energy from the elements is 444.5 meV/atom. Its energy above the most stable polymorph in this dataset is 217 meV/atom.

=====

BeFe2Hg | GGA-PBE | optimized geometry

a b c (Å): 2.8737 2.8737 6.3149
angles (deg): 90.00 90.00 90.00
Atoms (fractional coordinates):
Be  0.0000  0.0000  0.0000
Fe  0.5000  0.5000  0.1856
Fe  0.5000  0.5000  0.8144
Hg  0.0000  0.0000  0.5000

Properties
Its formation energy from the elements is 242.1 meV/atom. Its energy above the most stable polymorph in this dataset is 15 meV/atom.

=====

LiBeFeHg2 | GGA-PBE | optimized geometry

a b c (Å): 4.6013 4.6013 4.1601
angles (deg): 90.00 90.00 90.00
Atoms (fractional coordinates):
Li  0.0000  0.0000  0.0000
Be  0.0000  0.0000  0.5000
Fe  0.5000  0.5000  0.5000
Hg  0.0000  0.5000  0.0000
Hg  0.5000  0.0000  0.0000

Properties
Its formation energy from the elements is 911.9 meV/atom.

=====

BeFe2HgN | GGA-PBE | optimized geometry

a b c (Å): 4.0238 4.0238 4.3854
angles (deg): 90.00 90.00 90.00
Atoms (fractional coordinates):
Be  0.0000  0.0000  0.0000
Fe  0.0000  0.5000  0.0000
Fe  0.5000  0.0000  0.0000
Hg  0.0000  0.0000  0.5000
N  0.5000  0.5000  0.5000

Properties
As for the raw formation energy: 1.56 eV/atom.

=====

Be2FeHgP | GGA-PBE | optimized geometry

a b c (Å): 4.1441 4.1441 4.8841
angles (deg): 90.00 90.00 90.00
Atoms (fractional coordinates):
Be  0.0000  0.5000  0.0000
Be  0.5000  0.0000  0.0000
Fe  0.0000  0.0000  0.0000
Hg  0.0000  0.0000  0.5000
P  0.5000  0.5000  0.5000

Properties
Its formation energy from the elements is 1136.3 meV/atom.

=====

Sc2BeFeHg | GGA-PBE | optimized geometry

a b c (Å): 5.2905 5.2905 4.2734
angles (deg): 90.00 90.00 90.00
Atoms (fractional coordinates):
Sc  0.0000  0.5000  0.0000
Sc  0.5000  0.0000  0.0000
Be  0.0000  0.0000  0.5000
Fe  0.5000  0.5000  0.5000
Hg  0.0000  0.0000  0.0000

Properties
Its formation energy from the elements is 862.8 meV/atom.